## K2AgPtCl6 (PBE-GGA)

Data for a relaxed structure of K2AgPtCl6.

```
data_K2AgPtCl6
_cell_length_a 7.0550
_cell_length_b 7.0550
_cell_length_c 38.1660
_cell_angle_alpha 90.00
_cell_angle_beta 90.00
_cell_angle_gamma 120.00
_space_group_name_H-M_alt 'R -3 m'
_space_group_IT_number 166
_space_group_name_Hall '-R 3 2"'
loop_
_atom_site_label
_atom_site_fract_x
_atom_site_fract_y
_atom_site_fract_z
_atom_site_occupancy
K1 0.0000 0.0000 0.1282 1
K2 0.0000 0.0000 0.3042 1
Ag1 0.0000 0.0000 0.4130 1
Pt1 0.0000 0.0000 0.0000 1
Pt2 0.0000 0.0000 0.5000 1
Cl1 0.0068 0.5034 0.1300 1
Cl2 0.0090 0.5045 0.7042 1
```

## Properties
raw total energy = -193.93 eV/cell
crystal system = trigonal
M_tot = 2.7 μB/cell